# 1
A relaxed Ir2PbWCl crystal, computed with PBE.

Geometry as POSCAR:
```
Ir2PbWCl
1.0
-2.596 4.091 -1.205
-2.491 -2.598 -3.452
-3.460 -1.195 3.396
Cl W Ir Pb
1 1 2 1
Cartesian
-1.246 -1.299 -1.726
-4.274 0.149 -0.630
-1.298 2.046 -0.602
-1.730 -0.598 1.698
0.000 0.000 0.000
```

## Properties
The value obtained for the density of states at the Fermi level is 1.40 states/eV per atom. As for the uncorrected formation energy: 2.546 eV per atom. As for the final energy: -4.700 eV per atom.



# 2
A relaxed TaAuSe3 crystal, computed with PBE.

Geometry as POSCAR:
```
TaAuSe3
1.0
6.297 -0.002 -0.001
0.002 6.804 0.102
-0.001 -3.283 5.609
Se Ta Au
6 2 2
Cartesian
4.990 -1.258 5.408
1.436 1.008 1.752
4.585 2.512 3.958
1.844 4.777 0.302
1.362 4.081 3.697
4.509 -0.561 2.013
2.963 -2.845 5.486
6.114 6.363 0.223
1.844 -0.368 4.223
4.993 3.888 1.486
```

## Properties
The value obtained for the density of states at the Fermi level is 0.12 states/eV per atom. As for the uncorrected formation energy: -0.430 eV per atom. As for the final energy: -5.547 eV per atom.